No. 1
# BaSr3Pd PBE relaxed
# - DOS at the Fermi energy: 2.73 states/eV/f.u.
# - Space-group type: I4mm, No. 107
# - Crystal system: tetragonal
# - E above lowest polymorph: 0 meV/atom
# - Total moment: 0.00 μB per cell
# - Theoretical density: 3.543 g cm⁻³
data_BaSr3Pd
_chemical_formula_sum 'Ba2 Sr6 Pd2'
_space_group_name_H-M_alt 'P 1'
_space_group_IT_number 1
_space_group_name_Hall 'P 1'
_cell_length_a 7.638
_cell_length_b 8.697
_cell_length_c 7.637
_cell_angle_alpha 90.00
_cell_angle_beta 110.60
_cell_angle_gamma 90.00
loop_
_atom_site_label
_atom_site_fract_x
_atom_site_fract_y
_atom_site_fract_z
Ba1 0.707 0.548 0.034
Pd1 0.460 0.548 0.282
Ba2 0.208 0.048 0.534
Sr1 0.214 0.798 0.028
Sr2 0.214 0.298 0.028
Sr3 0.714 0.299 0.528
Sr4 0.220 0.548 0.521
Sr5 0.721 0.048 0.021
Pd2 0.960 0.048 0.782
Sr6 0.714 0.799 0.528



No. 2
# SiCIO2 PBE relaxed
# - DOS at the Fermi energy: 1.65 states/eV/f.u.
# - Space-group type: P4/mmm, No. 123
# - Crystal system: tetragonal
# - E above lowest polymorph: 0 meV/atom
# - Total moment: 0.99 μB per cell
# - Theoretical density: 4.430 g cm⁻³
# - Energy relative to the elements, uncorrected: 0.5 kcal/mol of atoms
data_SiCIO2
_chemical_formula_sum 'Si1 C1 I1 O2'
_space_group_name_H-M_alt 'P 1'
_space_group_IT_number 1
_space_group_name_Hall 'P 1'
_cell_length_a 3.387
_cell_length_b 3.387
_cell_length_c 6.502
_cell_angle_alpha 90.00
_cell_angle_beta 90.00
_cell_angle_gamma 90.00
loop_
_atom_site_label
_atom_site_fract_x
_atom_site_fract_y
_atom_site_fract_z
Si1 0.000 0.000 0.000
I1 0.000 0.000 0.500
C1 0.500 0.500 0.500
O1 0.500 0.000 0.000
O2 0.000 0.500 0.000



Question: total moment of number 1 (BaSr3Pd)?
Answer: 0.00 μB per cell



Question: What is the formula in the second record?
Answer: SiCIO2



Question: Which formula does entry 2 have?
Answer: SiCIO2